1.
The following is a DFT calculation (PBE) of Y2PbAu after structural relaxation.

Values from the calculation:
crystal system: orthorhombic
density: 7.96 Mg/m³
DOS at the Fermi energy: 7.2 states/eV per cell
uncorrected energy: -4.850 eV per atom
calculated volume: 30.36 Å³ per atom
spin magnetization: 0.000 μB per formula unit
calculated formation energy: 0.13 eV/atom

Lattice parameters (Å, degrees): 3.4774 5.6946 12.2652 90.00 90.00 90.00
Fractional coordinates of all 8 atoms:
Y: 0.0000 0.0000 0.2311
Y: 0.0000 0.0000 0.7689
Y: 0.5000 0.5000 0.2689
Y: 0.5000 0.5000 0.7311
Pb: 0.0000 0.0000 0.5000
Pb: 0.5000 0.5000 0.0000
Au: 0.0000 0.0000 0.0000
Au: 0.5000 0.5000 0.5000


2.
The following is a DFT calculation (PBE) of Er2TcHgC after structural relaxation.

Values from the calculation:
crystal system: tetragonal
density: 11.02 Mg/m³
DOS at the Fermi energy: 2.7 states/eV per cell
uncorrected energy: -6.189 eV per atom
calculated volume: 19.44 Å³ per atom
spin magnetization: 0.000 μB per formula unit
calculated formation energy: -0.39 eV/atom

Lattice parameters (Å, degrees): 4.9312 4.9312 3.9980 90.00 90.00 90.00
Fractional coordinates of all 5 atoms:
Er: 0.0000 0.5000 0.0000
Er: 0.5000 0.0000 0.0000
Tc: 0.0000 0.0000 0.5000
Hg: 0.5000 0.5000 0.5000
C: 0.0000 0.0000 0.0000


3.
The following is a DFT calculation (PBE) of Cr2CoTc after structural relaxation.

Values from the calculation:
crystal system: tetragonal
density: 8.92 Mg/m³
DOS at the Fermi energy: 10.9 states/eV per cell
uncorrected energy: -9.043 eV per atom
calculated volume: 12.15 Å³ per atom
spin magnetization: 0.517 μB per formula unit
calculated formation energy: 0.14 eV/atom

Lattice parameters (Å, degrees): 3.6257 3.6257 7.3927 90.00 90.00 90.00
Fractional coordinates of all 8 atoms:
Cr: 0.0000 0.0000 0.0000
Cr: 0.0000 0.5000 0.2500
Cr: 0.5000 0.0000 0.7500
Cr: 0.5000 0.5000 0.5000
Co: 0.0000 0.0000 0.5000
Co: 0.5000 0.5000 0.0000
Tc: 0.0000 0.5000 0.7500
Tc: 0.5000 0.0000 0.2500


4.
The following is a DFT calculation (PBE) of ScMn2Ir after structural relaxation.

Values from the calculation:
crystal system: tetragonal
density: 9.40 Mg/m³
DOS at the Fermi energy: 7.1 states/eV per cell
uncorrected energy: -8.644 eV per atom
calculated volume: 15.33 Å³ per atom
spin magnetization: 1.247 μB per formula unit
calculated formation energy: -0.26 eV/atom

Lattice parameters (Å, degrees): 4.4033 4.4033 6.3263 90.00 90.00 90.00
Fractional coordinates of all 8 atoms:
Sc: 0.0000 0.0000 0.0000
Sc: 0.5000 0.5000 0.5000
Mn: 0.0000 0.0000 0.5000
Mn: 0.0000 0.5000 0.2500
Mn: 0.5000 0.0000 0.7500
Mn: 0.5000 0.5000 0.0000
Ir: 0.0000 0.5000 0.7500
Ir: 0.5000 0.0000 0.2500


5.
The following is a DFT calculation (PBE) of Pu2Al3Pt after structural relaxation.

Values from the calculation:
crystal system: trigonal
density: 11.06 Mg/m³
DOS at the Fermi energy: 11.1 states/eV per cell
uncorrected energy: -8.267 eV per atom
calculated volume: 19.12 Å³ per atom
spin magnetization: 10.770 μB per formula unit
calculated formation energy: -0.61 eV/atom

Lattice parameters (Å, degrees): 5.3720 5.3720 5.3720 62.09 62.09 62.09
Fractional coordinates of all 6 atoms:
Pu: 0.1212 0.1212 0.1212
Pu: 0.8788 0.8788 0.8788
Al: 0.0000 0.5000 0.5000
Al: 0.5000 0.0000 0.5000
Al: 0.5000 0.5000 0.0000
Pt: 0.5000 0.5000 0.5000


6.
The following is a DFT calculation (PBE) of MgFe2Pb after structural relaxation.

Values from the calculation:
crystal system: tetragonal
density: 7.90 Mg/m³
DOS at the Fermi energy: 3.2 states/eV per cell
uncorrected energy: -5.312 eV per atom
calculated volume: 18.03 Å³ per atom
spin magnetization: 5.110 μB per formula unit
calculated formation energy: 0.25 eV/atom

Lattice parameters (Å, degrees): 3.2117 3.2117 6.9907 90.00 90.00 90.00
Fractional coordinates of all 4 atoms:
Mg: 0.0000 0.0000 0.0000
Fe: 0.0000 0.0000 0.6148
Fe: 0.5000 0.5000 0.7630
Pb: 0.5000 0.5000 0.3439


7.
The following is a DFT calculation (PBE) of Sr2AsCl after structural relaxation.

Values from the calculation:
crystal system: cubic
density: 4.22 Mg/m³
formation energy without anion corrections: -679 meV per atom
DOS at the Fermi energy: 0.2 states/eV per cell
uncorrected energy: -3.144 eV per atom
calculated volume: 28.08 Å³ per atom
spin magnetization: 0.000 μB per formula unit

Lattice parameters (Å, degrees): 7.6587 7.6587 7.6587 90.00 90.00 90.00
Fractional coordinates of all 16 atoms:
Sr: 0.0000 0.0000 0.0000
Sr: 0.0000 0.5000 0.5000
Sr: 0.2500 0.2500 0.2500
Sr: 0.2500 0.7500 0.7500
Sr: 0.5000 0.0000 0.5000
Sr: 0.5000 0.5000 0.0000
Sr: 0.7500 0.2500 0.7500
Sr: 0.7500 0.7500 0.2500
As: 0.2500 0.2500 0.7500
As: 0.2500 0.7500 0.2500
As: 0.7500 0.2500 0.2500
As: 0.7500 0.7500 0.7500
Cl: 0.0000 0.0000 0.5000
Cl: 0.0000 0.5000 0.0000
Cl: 0.5000 0.0000 0.0000
Cl: 0.5000 0.5000 0.5000


8.
The following is a DFT calculation (PBE) of CdRe2W after structural relaxation.

Values from the calculation:
crystal system: tetragonal
density: 14.77 Mg/m³
DOS at the Fermi energy: 8.3 states/eV per cell
uncorrected energy: -8.565 eV per atom
calculated volume: 18.80 Å³ per atom
spin magnetization: 0.000 μB per formula unit
calculated formation energy: 1.13 eV/atom

Lattice parameters (Å, degrees): 7.4472 7.4472 5.4232 90.00 90.00 90.00
Fractional coordinates of all 16 atoms:
Cd: 0.0000 0.0000 0.0000
Cd: 0.0000 0.5000 0.2500
Cd: 0.5000 0.0000 0.7500
Cd: 0.5000 0.5000 0.5000
Re: 0.2025 0.7500 0.6250
Re: 0.2500 0.2025 0.3750
Re: 0.2500 0.2975 0.8750
Re: 0.2975 0.7500 0.1250
Re: 0.7025 0.2500 0.1250
Re: 0.7500 0.7025 0.8750
Re: 0.7500 0.7975 0.3750
Re: 0.7975 0.2500 0.6250
W: 0.0000 0.0000 0.5000
W: 0.0000 0.5000 0.7500
W: 0.5000 0.0000 0.2500
W: 0.5000 0.5000 0.0000